This record from the Alexandria database describes a geometry-optimized Li4FeBiTe2O12 structure. The functional is PBE with a Hubbard U.

Cell lengths 5.223, 5.502, 7.613 Å; angles 85.75, 89.99, 89.79 degrees
Element x y z (fractional)
Li 0.000 0.000 0.000
Li 0.008 0.013 0.550
Li 0.495 0.477 0.999
Li 0.506 0.471 0.543
Fe 0.004 0.430 0.740
Bi 0.502 0.916 0.241
Te 0.003 0.414 0.236
Te 0.503 0.913 0.736
O 0.130 0.380 0.997
O 0.149 0.085 0.301
O 0.213 0.721 0.662
O 0.307 0.203 0.669
O 0.330 0.560 0.298
O 0.362 0.877 0.978
O 0.652 0.892 0.497
O 0.678 0.599 0.785
O 0.704 0.234 0.145
O 0.808 0.091 0.785
O 0.831 0.715 0.150
O 0.875 0.399 0.471

symmetry: No. 1
raw total energy: -5.52 eV/atom
spin magnetization: 4.94 μB/cell